A plane-wave DFT calculation with PBE was carried out for a geometry-optimized EuPaAg4 structure.

## Properties
* volume: 22.324 Å³/atom
* DOS at the Fermi energy: 6.9 states/eV/f.u.
* VASP energy: -5.085 eV/atom
* magnetic moment: 36.1 μB per cell
* energy of formation: 111 meV/atom

Cell lengths 8.122, 8.122, 8.122 Å; angles 90.00, 90.00, 90.00 degrees
Space group F-43m (No. 216)
Asymmetric unit:
Eu  0.000  0.000  0.000 [4 per cell]
Pa  0.250  0.250  0.250 [4 per cell]
Ag  0.125  0.125  0.625 [16 per cell]